Here is an optimized crystal structure of ZrSi2Tc from Alexandria. Energies are from GGA-PBEsol.

Summary:
- DOS(E_F): 0.56 states/eV/atom
- DFT total energy: -8.476 eV per atom
- E above lowest polymorph: 0.071 eV/atom
- Crystal system: monoclinic
- Formation energy (no corrections): -2.05 eV/f.u.

a b c (Å): 3.081 4.208 5.386
angles (deg): 100.61 90.00 111.48
Positions (direct):
Si 0.737 0.475 0.682
Si 0.263 0.525 0.318
Tc 0.000 0.000 0.500
Zr 0.500 0.000 0.000